Record 1
This record from the Alexandria database describes a geometry-optimized Nb2CuPd6 structure. The functional is PBE.

```
Nb2CuPd6
1.0
2.762 0.000 -0.380
0.000 7.506 0.000
-1.823 -3.753 7.167
Pd Nb Cu
6 2 1
Direct
0.680 0.660 0.680
0.500 0.318 0.000
0.680 0.020 0.680
0.320 0.340 0.320
0.500 0.682 0.000
0.320 0.980 0.320
0.862 0.681 0.361
0.138 0.319 0.639
0.000 0.000 0.000
```

Summary:
Final energy in Ry per atom: -0.46590
D(E_F) in states/eV per atom: 0.724
Energy relative to the elements in eV/atom: -0.18

=====

Record 2
This record from the Alexandria database describes a geometry-optimized Ac5Ge5Pt2 structure. The functional is PBE.

```
Ac5Ge5Pt2
1.0
-2.646 -3.533 0.890
-1.989 -3.279 -7.536
6.071 -7.192 0.891
Ge Ac Pt
5 5 2
Direct
0.939 0.309 0.813
0.716 0.226 0.341
0.284 0.774 0.659
0.061 0.691 0.187
0.000 0.000 0.000
0.379 0.921 0.321
0.000 0.500 0.500
0.693 0.694 0.920
0.307 0.306 0.080
0.621 0.079 0.679
0.615 0.528 0.242
0.385 0.472 0.758
```

Summary:
Final energy in Ry per atom: -0.40175
D(E_F) in states/eV per atom: 0.582
Energy relative to the elements in eV/atom: -0.82

=====

Record 3
This record from the Alexandria database describes a geometry-optimized Sc2BeCdIr structure. The functional is PBE.

```
Sc2BeCdIr
1.0
5.135 0.000 0.000
0.000 4.142 0.000
0.000 0.000 5.135
Sc Cd Be Ir
2 1 1 1
Direct
0.000 0.000 0.500
0.500 0.000 0.000
0.000 0.000 0.000
0.000 0.500 0.000
0.500 0.500 0.500
```

Summary:
Final energy in Ry per atom: -0.32206
D(E_F) in states/eV per atom: 0.798
Energy relative to the elements in eV/atom: 0.85

=====

Record 4
This record from the Alexandria database describes a geometry-optimized Ba5ZnIn4 structure. The functional is PBE.

```
Ba5ZnIn4
1.0
-0.638 1.248 4.003
-3.968 -1.490 -0.168
6.815 -18.931 6.989
In Ba Zn
4 5 1
Direct
0.000 0.000 0.197
0.000 0.000 0.602
0.000 0.000 0.803
0.000 0.000 0.398
0.500 0.500 0.096
0.500 0.500 0.297
0.500 0.500 0.500
0.500 0.500 0.904
0.500 0.500 0.703
0.000 0.000 0.000
```

Summary:
Final energy in Ry per atom: -0.18581
D(E_F) in states/eV per atom: 0.777
Energy relative to the elements in eV/atom: -0.34

=====

Record 5
This record from the Alexandria database describes a geometry-optimized Ca5AcHg4 structure. The functional is PBE.

```
Ca5AcHg4
1.0
-2.995 -2.174 -0.890
0.664 -2.167 3.058
-12.409 12.393 11.479
Ca Hg Ac
5 4 1
Direct
0.500 0.500 0.142
0.500 0.500 0.858
0.500 0.500 0.680
0.500 0.500 0.500
0.500 0.500 0.320
0.000 0.000 0.228
0.000 0.000 0.772
0.000 0.000 0.411
0.000 0.000 0.589
0.000 0.000 0.000
```

Summary:
Final energy in Ry per atom: -0.14339
D(E_F) in states/eV per atom: 1.294
Energy relative to the elements in eV/atom: -0.42

=====

Record 6
This record from the Alexandria database describes a geometry-optimized Rb3TaMn structure. The functional is PBE.

```
Rb3TaMn
1.0
-2.309 -6.466 1.410
3.665 -0.006 5.975
-5.510 2.706 3.383
Rb Mn Ta
3 1 1
Direct
0.000 0.500 0.000
0.000 0.000 0.500
0.500 0.000 0.000
0.500 0.500 0.500
0.000 0.000 0.000
```

Summary:
Final energy in Ry per atom: -0.21586
D(E_F) in states/eV per atom: 3.651
Energy relative to the elements in eV/atom: 1.85

=====

Record 7
This record from the Alexandria database describes a geometry-optimized Be2GaReP structure. The functional is PBE.

```
Be2GaReP
1.0
3.959 0.000 0.000
0.000 5.005 0.000
0.000 0.000 3.959
Be P Re Ga
2 1 1 1
Direct
0.500 0.000 0.000
0.000 0.000 0.500
0.000 0.500 0.000
0.500 0.500 0.500
0.000 0.000 0.000
```

Summary:
Final energy in Ry per atom: -0.30695
D(E_F) in states/eV per atom: 0.643
Energy relative to the elements in eV/atom: 1.49

=====

Record 8
This record from the Alexandria database describes a geometry-optimized Ti2CrRe structure. The functional is PBE.

```
Ti2CrRe
1.0
6.864 0.000 0.000
0.000 6.864 0.000
3.432 3.432 2.619
Re Cr Ti
2 2 4
Direct
0.750 0.250 0.500
0.000 0.000 0.000
0.250 0.750 0.500
0.500 0.500 0.000
0.375 0.385 0.750
0.135 0.625 0.250
0.615 0.125 0.250
0.875 0.865 0.750
```

Summary:
Final energy in Ry per atom: -0.66091
D(E_F) in states/eV per atom: 1.065
Energy relative to the elements in eV/atom: 0.47

=====

Record 9
This record from the Alexandria database describes a geometry-optimized Rb3DyPa3Te8 structure. The functional is PBE.

```
Rb3DyPa3Te8
1.0
8.819 0.000 0.000
-4.409 7.638 -0.033
0.000 -5.055 8.911
Te Rb Pa Dy
8 3 3 1
Direct
0.265 0.529 0.294
0.766 0.033 0.299
0.766 0.532 0.299
0.234 0.468 0.701
0.267 0.033 0.299
0.234 0.967 0.701
0.735 0.471 0.706
0.733 0.967 0.701
0.500 0.500 0.000
0.000 0.000 0.000
0.000 0.500 0.000
0.000 0.500 0.500
0.500 0.500 0.500
0.500 0.000 0.500
0.000 0.000 0.500
```

Summary:
Energy relative to the elements, uncorrected in meV/atom: -1023
Final energy in Ry per atom: -0.37473
D(E_F) in states/eV per atom: 1.392

=====

Record 10
This record from the Alexandria database describes a geometry-optimized TlIn2Rh structure. The functional is PBE.

```
TlIn2Rh
1.0
1.544 7.251 -0.002
-1.544 7.251 -0.002
0.000 1.406 4.292
In Tl Rh
2 1 1
Direct
0.000 0.000 0.000
0.823 0.823 0.677
0.184 0.184 0.316
0.492 0.492 0.508
```

Summary:
Final energy in Ry per atom: -0.28902
D(E_F) in states/eV per atom: 0.528
Energy relative to the elements in eV/atom: -0.13

=====

Record 11
This record from the Alexandria database describes a geometry-optimized RbNa9Au2 structure. The functional is PBE.

```
RbNa9Au2
1.0
-5.471 -6.308 -3.097
4.700 -8.606 -3.579
-3.193 -6.987 7.067
Na Rb Au
18 2 4
Direct
0.750 0.500 0.500
0.119 0.182 0.428
0.454 0.818 0.428
0.296 0.682 0.072
0.729 0.818 0.572
0.699 0.182 0.572
0.729 0.572 0.818
0.631 0.318 0.072
0.051 0.928 0.318
0.021 0.682 0.928
0.051 0.318 0.928
0.021 0.928 0.682
0.699 0.572 0.182
0.631 0.072 0.318
0.454 0.428 0.818
0.296 0.072 0.682
0.119 0.428 0.182
0.000 0.000 0.000
0.500 0.000 0.000
0.250 0.500 0.500
0.875 0.250 0.750
0.875 0.750 0.250
0.375 0.750 0.750
0.875 0.250 0.250
```

Summary:
Final energy in Ry per atom: -0.12683
D(E_F) in states/eV per atom: 0.457
Energy relative to the elements in eV/atom: -0.11

=====

Record 12
This record from the Alexandria database describes a geometry-optimized CoRh structure. The functional is PBE.

```
CoRh
1.0
8.556 -0.007 -0.004
8.147 2.614 -0.004
8.147 1.271 2.284
Rh Co
2 2
Direct
0.747 0.747 0.747
0.503 0.503 0.503
0.253 0.253 0.253
0.997 0.997 0.997
```

Summary:
Final energy in Ry per atom: -0.52340
D(E_F) in states/eV per atom: 1.595
Energy relative to the elements in eV/atom: 0.11

=====

Record 13
This record from the Alexandria database describes a geometry-optimized LiGd2Pb structure. The functional is PBE.

```
LiGd2Pb
1.0
-1.379 -2.816 -1.530
-1.647 -2.400 1.923
-11.105 4.008 -1.345
Gd Pb Li
2 1 1
Direct
0.091 0.091 0.727
0.909 0.909 0.273
0.000 0.000 0.000
0.500 0.500 0.500
```

Summary:
Final energy in Ry per atom: -0.60861
D(E_F) in states/eV per atom: 1.916
Energy relative to the elements in eV/atom: 0.17

=====

Record 14
This record from the Alexandria database describes a geometry-optimized AcTbSm3Y structure. The functional is PBE.

```
AcTbSm3Y
1.0
-3.646 4.042 -2.104
1.629 -6.924 -8.034
-5.560 -3.812 2.312
Sm Y Tb Ac
6 2 2 2
Direct
0.518 0.036 0.736
0.219 0.438 0.267
0.161 0.322 0.737
0.781 0.562 0.733
0.839 0.678 0.263
0.482 0.964 0.264
0.943 0.887 0.707
0.057 0.113 0.293
0.645 0.289 0.483
0.355 0.711 0.517
0.647 0.293 0.031
0.353 0.707 0.969
```

Summary:
Final energy in Ry per atom: -0.34309
D(E_F) in states/eV per atom: 1.516
Energy relative to the elements in eV/atom: 0.23

=====

Record 15
This record from the Alexandria database describes a geometry-optimized SrTl2Mo structure. The functional is PBE.

```
SrTl2Mo
1.0
-0.656 1.953 -3.218
2.039 -2.561 -1.970
-6.468 -4.202 -1.232
Tl Mo Sr
2 1 1
Direct
0.000 0.000 0.048
0.500 0.500 0.314
0.000 0.000 0.414
0.500 0.500 0.725
```

Summary:
Final energy in Ry per atom: -0.27641
D(E_F) in states/eV per atom: 1.147
Energy relative to the elements in eV/atom: 0.55

=====

Record 16
This record from the Alexandria database describes a geometry-optimized NaCd2Pd2 structure. The functional is PBE.

```
NaCd2Pd2
1.0
-0.062 4.065 0.862
-2.655 0.624 -3.136
-6.212 1.437 2.791
Na Pd Cd
1 2 2
Direct
0.000 0.000 0.000
0.750 0.250 0.500
0.250 0.750 0.500
0.389 0.389 0.222
0.611 0.611 0.778
```

Summary:
Final energy in Ry per atom: -0.21059
D(E_F) in states/eV per atom: 0.366
Energy relative to the elements in eV/atom: -0.16

=====

Record 17
This record from the Alexandria database describes a geometry-optimized La14DyY structure. The functional is PBE.

```
La14DyY
1.0
-5.294 -2.846 3.876
1.986 -6.627 1.815
4.985 4.204 9.897
La Y Dy
14 1 1
Direct
0.398 0.183 0.500
0.612 0.388 0.763
0.108 0.322 0.745
0.817 0.602 0.500
0.612 0.388 0.237
0.851 0.616 0.000
0.678 0.892 0.255
0.108 0.322 0.255
0.174 0.826 0.756
0.678 0.892 0.745
0.174 0.826 0.244
0.864 0.136 0.500
0.293 0.707 0.500
0.384 0.149 0.000
0.348 0.652 0.000
0.903 0.097 0.000
```

Summary:
Final energy in Ry per atom: -0.36187
D(E_F) in states/eV per atom: 1.706
Energy relative to the elements in eV/atom: 0.08

=====

Record 18
This record from the Alexandria database describes a geometry-optimized Sr2CdGaH structure. The functional is PBE.

```
Sr2CdGaH
1.0
5.295 0.000 0.000
0.000 5.295 0.000
0.000 0.000 4.406
H Sr Ga Cd
1 2 1 1
Direct
0.000 0.000 0.000
0.500 0.000 0.000
0.000 0.500 0.000
0.500 0.500 0.500
0.000 0.000 0.500
```

Summary:
Final energy in Ry per atom: -0.17763
D(E_F) in states/eV per atom: 0.402

=====

Record 19
This record from the Alexandria database describes a geometry-optimized NaOsRu3 structure. The functional is PBE.

```
NaOsRu3
1.0
-3.984 -1.473 -0.703
-0.563 -0.501 4.239
-1.532 4.015 0.271
Ru Os Na
3 1 1
Direct
0.000 0.500 0.000
0.000 0.000 0.500
0.500 0.000 0.000
0.500 0.500 0.500
0.000 0.000 0.000
```

Summary:
Final energy in Ry per atom: -0.40703
D(E_F) in states/eV per atom: 1.537
Energy relative to the elements in eV/atom: 2.54

=====

Record 20
This record from the Alexandria database describes a geometry-optimized ScTlRh structure. The functional is PBE.

```
ScTlRh
1.0
4.577 0.000 0.000
2.289 3.964 0.000
2.289 1.321 3.737
Rh Sc Tl
1 1 1
Direct
0.500 0.500 0.500
0.250 0.250 0.250
0.000 0.000 0.000
```

Summary:
Final energy in Ry per atom: -0.39060
D(E_F) in states/eV per atom: 0.803
Energy relative to the elements in eV/atom: 0.04

=====

Record 21
This record from the Alexandria database describes a geometry-optimized B2C structure. The functional is PBE.

```
B2C
1.0
3.315 -4.275 -2.007
4.292 -3.831 0.444
-3.278 -4.122 2.053
B C
8 4
Direct
0.433 0.433 0.089
0.565 0.565 0.240
0.817 0.817 0.958
0.862 0.862 0.237
0.567 0.567 0.911
0.183 0.183 0.042
0.138 0.138 0.763
0.435 0.435 0.760
0.126 0.126 0.311
0.790 0.790 0.490
0.210 0.210 0.510
0.874 0.874 0.689
```

Summary:
Final energy in Ry per atom: -0.52780
D(E_F) in states/eV per atom: 0.176
Energy relative to the elements in eV/atom: 0.35

=====

Record 22
This record from the Alexandria database describes a geometry-optimized PmSm6Tl5 structure. The functional is PBE.

```
PmSm6Tl5
1.0
-3.483 -1.392 -3.445
6.253 -4.698 -4.423
-3.082 -3.207 8.175
Tl Sm Pm
5 6 1
Direct
0.650 0.150 0.300
0.677 0.677 0.354
0.323 0.323 0.646
0.000 0.500 0.000
0.350 0.850 0.700
0.171 0.434 0.342
0.829 0.566 0.658
0.171 0.908 0.342
0.829 0.092 0.658
0.500 0.272 0.000
0.500 0.728 0.000
0.000 0.000 0.000
```

Summary:
Final energy in Ry per atom: -0.29674
D(E_F) in states/eV per atom: 1.073
Energy relative to the elements in eV/atom: -0.30

=====

Record 23
This record from the Alexandria database describes a geometry-optimized KSrOs3 structure. The functional is PBE.

```
KSrOs3
1.0
4.811 0.000 0.000
0.000 4.811 0.000
0.000 0.000 4.811
K Os Sr
1 3 1
Direct
0.000 0.000 0.000
0.000 0.500 0.000
0.500 0.000 0.000
0.000 0.000 0.500
0.500 0.500 0.500
```

Summary:
Final energy in Ry per atom: -0.30049
D(E_F) in states/eV per atom: 2.063
Energy relative to the elements in eV/atom: 3.21

=====

Record 24
This record from the Alexandria database describes a geometry-optimized SrCrAgB2 structure. The functional is PBE.

```
SrCrAgB2
1.0
4.881 0.000 0.000
0.000 5.572 0.000
0.000 0.000 4.881
Ag Cr B Sr
1 1 2 1
Direct
0.000 0.500 0.000
0.500 0.500 0.500
0.000 0.000 0.500
0.500 0.000 0.000
0.000 0.000 0.000
```

Summary:
Final energy in Ry per atom: -0.22475
D(E_F) in states/eV per atom: 0.950
Energy relative to the elements in eV/atom: 2.44